# 1
The following is a PBE calculation of a geometry-optimized Nb6VRe structure, from Alexandria.

E_tot   -165.6 eV/cell
Total magnetic moment   0.0008 μB/atom
Relative energy among the computed polymorphs   0.0 kJ/mol of atoms

Lattice parameters (Å, degrees): 4.5840 4.5840 13.1032 90.00 90.00 90.00
Space group I4/mmm (No. 139)
Inequivalent atoms, fractional coordinates:
Nb: 0.0000 0.0000 0.2473
Nb: 0.0000 0.5000 0.1200
V: 0.0000 0.0000 0.0000
Re: 0.0000 0.0000 0.5000


# 2
The following is a PBE calculation of a geometry-optimized AlCdPb4 structure, from Alexandria.

E_tot   -69.6 eV/cell
Total magnetic moment   0.0000 μB/atom

Lattice parameters (Å, degrees): 9.1512 9.1512 9.1512 90.00 90.00 90.00
Space group F-43m (No. 216)
Inequivalent atoms, fractional coordinates:
Al: 0.0000 0.0000 0.0000
Cd: 0.2500 0.2500 0.7500
Pb: 0.1253 0.1253 0.3747